Density functional theory data (PBE) for a geometry-optimized Pd2Se3 structure.

Results
total energy	-43.9	eV/cell
density	7.11	g/cm3

a = 7.726 Å, b = 7.726 Å, c = 7.387 Å
α = 99.82°, β = 99.82°, γ = 28.95°
Atoms (fractional coordinates):
Pd: 0.000 0.000 0.000
Pd: 0.245 0.245 0.742
Pd: 0.500 0.500 0.500
Pd: 0.755 0.755 0.258
Se: 0.176 0.176 0.070
Se: 0.332 0.332 0.465
Se: 0.452 0.452 0.174
Se: 0.548 0.548 0.826
Se: 0.668 0.668 0.535
Se: 0.824 0.824 0.930

---

Density functional theory data (PBE) for a geometry-optimized HfZrGa2Pd4 structure.

Results
total energy	-51.2	eV/cell
density	9.99	g/cm3
M_tot	0.025	μB/f.u.

a = 4.321 Å, b = 4.321 Å, c = 8.582 Å
α = 90.00°, β = 90.00°, γ = 120.00°
Atoms (fractional coordinates):
Hf: 0.000 0.000 0.000
Zr: 0.667 0.333 0.500
Ga: 0.333 0.667 0.250
Ga: 0.333 0.667 0.750
Pd: 0.000 0.000 0.335
Pd: 0.000 0.000 0.665
Pd: 0.667 0.333 0.161
Pd: 0.667 0.333 0.839

---

Density functional theory data (PBE) for a geometry-optimized Na3B5Pt9 structure.

Results
total energy	-198.1	eV/cell
density	12.68	g/cm3
M_tot	0.002	μB/f.u.

a = 6.401 Å, b = 6.401 Å, c = 15.240 Å
α = 90.00°, β = 90.00°, γ = 127.98°
Atoms (fractional coordinates):
Na: 0.059 0.941 0.586
Na: 0.059 0.941 0.914
Na: 0.186 0.814 0.750
Na: 0.814 0.186 0.250
Na: 0.941 0.059 0.086
Na: 0.941 0.059 0.414
B: 0.228 0.772 0.250
B: 0.310 0.690 0.028
B: 0.310 0.690 0.472
B: 0.444 0.556 0.647
B: 0.444 0.556 0.853
B: 0.556 0.444 0.147
B: 0.556 0.444 0.353
B: 0.690 0.310 0.528
B: 0.690 0.310 0.972
B: 0.772 0.228 0.750
Pt: 0.068 0.436 0.579
Pt: 0.068 0.436 0.921
Pt: 0.159 0.333 0.750
Pt: 0.333 0.159 0.250
Pt: 0.373 0.627 0.157
Pt: 0.373 0.627 0.343
Pt: 0.436 0.068 0.079
Pt: 0.436 0.068 0.421
Pt: 0.500 0.500 0.000
Pt: 0.500 0.500 0.500
Pt: 0.564 0.932 0.579
Pt: 0.564 0.932 0.921
Pt: 0.627 0.373 0.657
Pt: 0.627 0.373 0.843
Pt: 0.667 0.841 0.750
Pt: 0.841 0.667 0.250
Pt: 0.932 0.564 0.079
Pt: 0.932 0.564 0.421

---

Density functional theory data (PBE) for a geometry-optimized GdYAg2S4 structure.

Results
total energy	-87.9	eV/cell
density	5.49	g/cm3
M_tot	0.005	μB/f.u.

a = 9.279 Å, b = 9.289 Å, c = 4.143 Å
α = 90.00°, β = 90.00°, γ = 90.00°
Atoms (fractional coordinates):
Gd: 0.000 0.000 0.000
Gd: 0.500 0.500 0.000
Y: 0.000 0.500 0.549
Y: 0.500 0.000 0.549
Ag: 0.250 0.250 0.775
Ag: 0.250 0.750 0.775
Ag: 0.750 0.250 0.775
Ag: 0.750 0.750 0.775
S: 0.000 0.301 0.043
S: 0.000 0.699 0.043
S: 0.202 0.000 0.507
S: 0.298 0.500 0.507
S: 0.500 0.199 0.043
S: 0.500 0.801 0.043
S: 0.702 0.500 0.507
S: 0.798 0.000 0.507

---

Density functional theory data (PBE) for a geometry-optimized HoMoPt structure.

Results
excess energy over the best structure of this formula in the dataset	0.00	kcal/mol of atoms
density	11.39	g/cm3
M_tot	0.907	μB/f.u.
energy relative to the elements	0.085	eV per atom

a = 6.430 Å, b = 6.430 Å, c = 6.430 Å
α = 90.00°, β = 90.00°, γ = 90.00°
Atoms (fractional coordinates):
Ho: 0.000 0.000 0.000
Ho: 0.000 0.500 0.500
Ho: 0.500 0.000 0.500
Ho: 0.500 0.500 0.000
Mo: 0.000 0.000 0.500
Mo: 0.000 0.500 0.000
Mo: 0.500 0.000 0.000
Mo: 0.500 0.500 0.500
Pt: 0.250 0.250 0.250
Pt: 0.250 0.750 0.750
Pt: 0.750 0.250 0.750
Pt: 0.750 0.750 0.250

---

Density functional theory data (PBE) for a geometry-optimized MgScTcW structure.

Results
excess energy over the best structure of this formula in the dataset	0.00	kcal/mol of atoms
density	8.67	g/cm3
M_tot	0.001	μB/f.u.

a = 6.455 Å, b = 6.455 Å, c = 6.455 Å
α = 90.00°, β = 90.00°, γ = 90.00°
Atoms (fractional coordinates):
Mg: 0.000 0.000 0.000
Mg: 0.000 0.500 0.500
Mg: 0.500 0.000 0.500
Mg: 0.500 0.500 0.000
Sc: 0.250 0.250 0.750
Sc: 0.250 0.750 0.250
Sc: 0.750 0.250 0.250
Sc: 0.750 0.750 0.750
Tc: 0.250 0.250 0.250
Tc: 0.250 0.750 0.750
Tc: 0.750 0.250 0.750
Tc: 0.750 0.750 0.250
W: 0.000 0.000 0.500
W: 0.000 0.500 0.000
W: 0.500 0.000 0.000
W: 0.500 0.500 0.500

---

Density functional theory data (PBE) for a geometry-optimized AcZnPt structure.

Results
excess energy over the best structure of this formula in the dataset	10.38	kcal/mol of atoms
density	10.43	g/cm3
M_tot	0.004	μB/f.u.
energy relative to the elements	-0.413	eV per atom

a = 6.771 Å, b = 6.771 Å, c = 6.771 Å
α = 90.00°, β = 90.00°, γ = 90.00°
Atoms (fractional coordinates):
Ac: 0.000 0.000 0.000
Ac: 0.000 0.500 0.500
Ac: 0.500 0.000 0.500
Ac: 0.500 0.500 0.000
Zn: 0.250 0.250 0.250
Zn: 0.250 0.750 0.750
Zn: 0.750 0.250 0.750
Zn: 0.750 0.750 0.250
Pt: 0.000 0.000 0.500
Pt: 0.000 0.500 0.000
Pt: 0.500 0.000 0.000
Pt: 0.500 0.500 0.500

---

Density functional theory data (PBE) for a geometry-optimized PrAgSnSe2S structure.

Results
total energy	-56.3	eV/cell
density	6.07	g/cm3
M_tot	0.001	μB/f.u.

a = 7.112 Å, b = 7.112 Å, c = 10.716 Å
α = 90.00°, β = 90.00°, γ = 145.75°
Atoms (fractional coordinates):
Pr: 0.000 0.000 0.000
Pr: 0.000 0.000 0.500
Ag: 0.476 0.524 0.750
Ag: 0.524 0.476 0.250
Sn: 0.253 0.747 0.250
Sn: 0.747 0.253 0.750
Se: 0.349 0.651 0.564
Se: 0.349 0.651 0.936
Se: 0.651 0.349 0.064
Se: 0.651 0.349 0.436
S: 0.090 0.910 0.750
S: 0.910 0.090 0.250

---

Density functional theory data (PBE) for a geometry-optimized SrPmO3 structure.

Results
total energy	-68.6	eV/cell
density	5.59	g/cm3
M_tot	1.000	μB/f.u.

a = 6.124 Å, b = 6.124 Å, c = 6.124 Å
α = 61.14°, β = 61.14°, γ = 61.14°
Atoms (fractional coordinates):
Sr: 0.250 0.250 0.250
Sr: 0.750 0.750 0.750
Pm: 0.000 0.000 0.000
Pm: 0.500 0.500 0.500
O: 0.143 0.750 0.357
O: 0.250 0.643 0.857
O: 0.357 0.143 0.750
O: 0.643 0.857 0.250
O: 0.750 0.357 0.143
O: 0.857 0.250 0.643

---

Density functional theory data (PBE) for a geometry-optimized InCuSe2 structure.

Results
total energy	-59.7	eV/cell
density	5.06	g/cm3

a = 14.128 Å, b = 5.856 Å, c = 5.853 Å
α = 90.00°, β = 114.34°, γ = 90.00°
Atoms (fractional coordinates):
In: 0.250 0.000 0.250
In: 0.250 0.500 0.750
In: 0.750 0.000 0.750
In: 0.750 0.500 0.250
Cu: 0.099 0.000 0.600
Cu: 0.401 0.500 0.400
Cu: 0.599 0.500 0.600
Cu: 0.901 0.000 0.400
Se: 0.121 0.274 0.348
Se: 0.121 0.726 0.896
Se: 0.379 0.226 0.104
Se: 0.379 0.774 0.652
Se: 0.621 0.226 0.896
Se: 0.621 0.774 0.348
Se: 0.879 0.274 0.652
Se: 0.879 0.726 0.104

---

Density functional theory data (PBE) for a geometry-optimized TmLuNO structure.

Results
excess energy over the best structure of this formula in the dataset	2.99	kcal/mol of atoms
density	10.18	g/cm3
M_tot	0.022	μB/f.u.

a = 7.896 Å, b = 6.438 Å, c = 4.798 Å
α = 90.00°, β = 90.00°, γ = 90.00°
Atoms (fractional coordinates):
Tm: 0.128 0.083 0.250
Tm: 0.128 0.417 0.750
Tm: 0.872 0.583 0.250
Tm: 0.872 0.917 0.750
Lu: 0.379 0.568 0.250
Lu: 0.379 0.932 0.750
Lu: 0.621 0.068 0.250
Lu: 0.621 0.432 0.750
N: 0.126 0.066 0.750
N: 0.126 0.434 0.250
N: 0.874 0.566 0.750
N: 0.874 0.934 0.250
O: 0.370 0.596 0.750
O: 0.370 0.904 0.250
O: 0.630 0.096 0.750
O: 0.630 0.404 0.250

---

Density functional theory data (PBE) for a geometry-optimized NbTcHg structure.

Results
density	10.38	g/cm3
M_tot	0.005	μB/f.u.
energy relative to the elements	0.705	eV per atom

a = 6.304 Å, b = 6.304 Å, c = 6.304 Å
α = 90.00°, β = 90.00°, γ = 90.00°
Atoms (fractional coordinates):
Nb: 0.000 0.000 0.000
Nb: 0.000 0.500 0.500
Nb: 0.500 0.000 0.500
Nb: 0.500 0.500 0.000
Tc: 0.250 0.250 0.750
Tc: 0.250 0.750 0.250
Tc: 0.750 0.250 0.250
Tc: 0.750 0.750 0.750
Hg: 0.000 0.000 0.500
Hg: 0.000 0.500 0.000
Hg: 0.500 0.000 0.000
Hg: 0.500 0.500 0.500